# 1
This record from Alexandria via LeMat-Bulk describes a relaxed structure of LaErSc2Hg4. The functional is GGA-PBE.

Results
- M_tot: 0.7 μB/cell
- Total DFT energy (no corrections): -3.344 eV/atom
- Formation enthalpy at 0 K: -0.423 eV/atom
- Calculated volume: 24.9 Å³/atom

Cell: 9.1589 9.1589 9.1589 Å, 32.69 32.69 32.69°
Element x y z (fractional)
La 0.0000 0.0000 0.0000
Er 0.5000 0.5000 0.5000
Sc 0.2476 0.2476 0.2476
Sc 0.7524 0.7524 0.7524
Hg 0.1280 0.1280 0.1280
Hg 0.3822 0.3822 0.3822
Hg 0.6178 0.6178 0.6178
Hg 0.8720 0.8720 0.8720

***

# 2
This record from Alexandria via LeMat-Bulk describes a relaxed structure of La2ErHgSe5. The functional is GGA-PBE.

Results
- M_tot: 0.0 μB/cell
- Total DFT energy (no corrections): -5.125 eV/atom
- Energy relative to the elements, uncorrected: -1553 meV/atom
- Calculated volume: 26.5 Å³/atom

Cell: 9.1726 9.1726 12.8408 Å, 90.00 90.00 153.83°
Element x y z (fractional)
La 0.1187 0.8813 0.5000
La 0.1327 0.8673 0.1251
La 0.8673 0.1327 0.6251
La 0.8813 0.1187 0.0000
Er 0.1987 0.8013 0.8247
Er 0.8013 0.1987 0.3247
Hg 0.4594 0.5406 0.2743
Hg 0.5406 0.4594 0.7743
Se 0.0467 0.9533 0.9003
Se 0.2894 0.7106 0.4789
Se 0.3061 0.6939 0.1674
Se 0.3559 0.6441 0.8167
Se 0.4958 0.5042 0.5827
Se 0.5042 0.4958 0.0827
Se 0.6441 0.3559 0.3167
Se 0.6939 0.3061 0.6674
Se 0.7106 0.2894 0.9789
Se 0.9533 0.0467 0.4003

***

# 3
This record from Alexandria via LeMat-Bulk describes a relaxed structure of LaSm2ErHg4. The functional is GGA-PBE.

Results
- M_tot: 1.3 μB/cell
- Total DFT energy (no corrections): -2.986 eV/atom
- Formation enthalpy at 0 K: -0.469 eV/atom
- Calculated volume: 27.5 Å³/atom

Cell: 9.3810 9.3810 9.3810 Å, 33.15 33.15 33.15°
Element x y z (fractional)
La 0.0000 0.0000 0.0000
Sm 0.2491 0.2491 0.2491
Sm 0.7509 0.7509 0.7509
Er 0.5000 0.5000 0.5000
Hg 0.1279 0.1279 0.1279
Hg 0.3798 0.3798 0.3798
Hg 0.6202 0.6202 0.6202
Hg 0.8721 0.8721 0.8721

***

# 4
This record from Alexandria via LeMat-Bulk describes a relaxed structure of LaSmErHg. The functional is GGA-PBE.

Results
- M_tot: 0.0 μB/cell
- Distance to the lowest polymorph of the same formula: 0.139 eV/atom
- Total DFT energy (no corrections): -3.714 eV/atom
- Formation enthalpy at 0 K: -0.087 eV/atom
- Calculated volume: 30.0 Å³/atom

Cell: 5.5381 5.5381 5.5381 Å, 60.00 60.00 60.00°
Element x y z (fractional)
La 0.0000 0.0000 0.0000
Sm 0.5000 0.5000 0.5000
Er 0.7500 0.7500 0.7500
Hg 0.2500 0.2500 0.2500

***

> What is the M_tot in the fourth record?

0.0 μB/cell